Tl4InHg7: optimized geometry, PBE.

## Properties
DOS at the Fermi energy	4.67	states/eV/f.u.
calculated volume	358	Å³/cell
final energy	-1.17	eV per atom
energy of formation	0.022	eV/atom
mass density	10.83	g cm⁻³
offset from the most stable computed form	28	meV/atom
space group	C2/m, No. 12
size of the total moment	0.000	μB/cell

Lattice parameters (Å, degrees): 5.848 10.985 6.565 91.86 63.55 74.56
Element x y z (fractional)
Tl 0.635 0.227 0.503
Tl 0.365 0.773 0.497
Tl 0.700 0.698 0.902
Tl 0.300 0.302 0.098
In 0.000 0.000 0.000
Hg 0.815 0.910 0.461
Hg 0.185 0.090 0.539
Hg 0.034 0.611 0.321
Hg 0.966 0.389 0.679
Hg 0.336 0.546 0.782
Hg 0.500 0.000 0.000
Hg 0.664 0.454 0.218